Record 1
# LaEr6Sc, optimized geometry, DFT PBE-GGA
# Formation enthalpy at 0 K (meV per atom): 47
data_LaEr6Sc
_chemical_formula_sum 'La1 Er6 Sc1'
_cell_length_a 4.9740
_cell_length_b 4.9740
_cell_length_c 9.9081
_cell_angle_alpha 90.00
_cell_angle_beta 90.00
_cell_angle_gamma 90.00
_symmetry_space_group_name_H-M 'P 4/m m m'
_symmetry_Int_Tables_number 123
_symmetry_space_group_name_Hall '-P 4 2'
loop_
_atom_site_label
_atom_site_fract_x
_atom_site_fract_y
_atom_site_fract_z
La1 0.0000 0.0000 0.0000
Er1 0.0000 0.5000 0.2599
Er2 0.5000 0.5000 0.0000
Er3 0.5000 0.5000 0.5000
Sc1 0.0000 0.0000 0.5000

Record 2
# DyPuNi2, optimized geometry, DFT PBE-GGA
# Formation enthalpy at 0 K (meV per atom): -201
data_DyPuNi2
_chemical_formula_sum 'Dy1 Pu1 Ni2'
_cell_length_a 4.8167
_cell_length_b 4.8167
_cell_length_c 3.2661
_cell_angle_alpha 90.00
_cell_angle_beta 90.00
_cell_angle_gamma 90.00
_symmetry_space_group_name_H-M 'P 4/m m m'
_symmetry_Int_Tables_number 123
_symmetry_space_group_name_Hall '-P 4 2'
loop_
_atom_site_label
_atom_site_fract_x
_atom_site_fract_y
_atom_site_fract_z
Dy1 0.0000 0.0000 0.0000
Pu1 0.5000 0.5000 0.0000
Ni1 0.0000 0.5000 0.5000

Record 3
# Ba2CaF, optimized geometry, DFT PBE-GGA
# Formation energy (no corrections) (kJ/mol of formula units): -197
data_Ba2CaF
_chemical_formula_sum 'Ba8 Ca4 F4'
_cell_length_a 9.0524
_cell_length_b 9.0524
_cell_length_c 9.0524
_cell_angle_alpha 90.00
_cell_angle_beta 90.00
_cell_angle_gamma 90.00
_symmetry_space_group_name_H-M 'F m -3 m'
_symmetry_Int_Tables_number 225
_symmetry_space_group_name_Hall '-F 4 2 3'
loop_
_atom_site_label
_atom_site_fract_x
_atom_site_fract_y
_atom_site_fract_z
Ba1 0.2500 0.2500 0.2500
Ca1 0.0000 0.0000 0.0000
F1 0.0000 0.0000 0.5000

Record 4
# Tl2Ni, optimized geometry, DFT PBE-GGA
# Formation enthalpy at 0 K (meV per atom): 293
data_Tl2Ni
_chemical_formula_sum 'Tl4 Ni2'
_cell_length_a 3.2897
_cell_length_b 3.2897
_cell_length_c 12.2731
_cell_angle_alpha 90.00
_cell_angle_beta 90.00
_cell_angle_gamma 90.00
_symmetry_space_group_name_H-M 'I 4/m m m'
_symmetry_Int_Tables_number 139
_symmetry_space_group_name_Hall '-I 4 2'
loop_
_atom_site_label
_atom_site_fract_x
_atom_site_fract_y
_atom_site_fract_z
Tl1 0.0000 0.0000 0.1350
Ni1 0.0000 0.0000 0.5000

Record 5
# YGa2CuPt4, optimized geometry, DFT PBE-GGA
# Formation enthalpy at 0 K (meV per atom): -707
data_YGa2CuPt4
_chemical_formula_sum 'Y3 Ga6 Cu3 Pt12'
_cell_length_a 4.3275
_cell_length_b 4.3275
_cell_length_c 25.0732
_cell_angle_alpha 90.00
_cell_angle_beta 90.00
_cell_angle_gamma 120.00
_symmetry_space_group_name_H-M 'R -3 m'
_symmetry_Int_Tables_number 166
_symmetry_space_group_name_Hall '-R 3 2"'
loop_
_atom_site_label
_atom_site_fract_x
_atom_site_fract_y
_atom_site_fract_z
Y1 0.0000 0.0000 0.0000
Ga1 0.0000 0.0000 0.2418
Cu1 0.0000 0.0000 0.5000
Pt1 0.0000 0.0000 0.1307
Pt2 0.0000 0.0000 0.4000

Record 6
# RePb2, optimized geometry, DFT PBE-GGA
# Formation enthalpy at 0 K (meV per atom): 841
data_RePb2
_chemical_formula_sum 'Re4 Pb8'
_cell_length_a 3.2741
_cell_length_b 3.2741
_cell_length_c 27.5969
_cell_angle_alpha 90.00
_cell_angle_beta 90.00
_cell_angle_gamma 90.00
_symmetry_space_group_name_H-M 'I 41/a m d'
_symmetry_Int_Tables_number 141
loop_
_symmetry_equiv_pos_as_xyz
'x,y,z'
'-x,-y,-z'
'-y+1/4,x+3/4,z+1/4'
'y+1/4,-x+3/4,-z+1/4'
'-x+1/2,-y,z+1/2'
'x+1/2,y,-z+1/2'
'y+1/4,-x+1/4,z+3/4'
'-y+1/4,x+1/4,-z+3/4'
'x,-y,-z'
'-x,y,z'
'-y+1/4,-x+1/4,-z+3/4'
'y+1/4,x+1/4,z+3/4'
'-x+1/2,y,-z+1/2'
'x+1/2,-y,z+1/2'
'y+1/4,x+3/4,-z+1/4'
'-y+1/4,-x+3/4,z+1/4'
'x+1/2,y+1/2,z+1/2'
'-x+1/2,-y+1/2,-z+1/2'
'-y+3/4,x+1/4,z+3/4'
'y+3/4,-x+1/4,-z+3/4'
'-x,-y+1/2,z'
'x,y+1/2,-z'
'y+3/4,-x+3/4,z+1/4'
'-y+3/4,x+3/4,-z+1/4'
'x+1/2,-y+1/2,-z+1/2'
'-x+1/2,y+1/2,z+1/2'
'-y+3/4,-x+3/4,-z+1/4'
'y+3/4,x+3/4,z+1/4'
'-x,y+1/2,-z'
'x,-y+1/2,z'
'y+3/4,x+1/4,-z+3/4'
'-y+3/4,-x+1/4,z+3/4'
loop_
_atom_site_label
_atom_site_fract_x
_atom_site_fract_y
_atom_site_fract_z
Re1 0.0000 0.2500 0.3750
Pb1 0.0000 0.2500 0.8085

Record 7
# Tb3Si2Ru2, optimized geometry, DFT PBE-GGA
# Formation energy (no corrections) (kJ/mol of formula units): -497
data_Tb3Si2Ru2
_chemical_formula_sum 'Tb12 Si8 Ru8'
_cell_length_a 5.5823
_cell_length_b 7.6208
_cell_length_c 13.4419
_cell_angle_alpha 90.00
_cell_angle_beta 90.00
_cell_angle_gamma 90.00
_symmetry_space_group_name_H-M 'P b c m'
_symmetry_Int_Tables_number 57
_symmetry_space_group_name_Hall '-P 2c 2b'
loop_
_atom_site_label
_atom_site_fract_x
_atom_site_fract_y
_atom_site_fract_z
Tb1 0.1276 0.2421 0.2500
Tb2 0.3558 0.5999 0.1011
Si1 0.1047 0.2500 0.0000
Si2 0.3609 0.6071 0.7500
Ru1 0.1473 0.5284 0.5906

Record 8
# Sm3ZnSi2Pd9, optimized geometry, DFT PBE-GGA
# Formation energy (no corrections) (kJ/mol of formula units): -928
data_Sm3ZnSi2Pd9
_chemical_formula_sum 'Sm3 Zn1 Si2 Pd9'
_cell_length_a 5.7690
_cell_length_b 5.7690
_cell_length_c 10.4401
_cell_angle_alpha 90.00
_cell_angle_beta 90.00
_cell_angle_gamma 120.00
_symmetry_space_group_name_H-M 'P -3 m 1'
_symmetry_Int_Tables_number 164
_symmetry_space_group_name_Hall '-P 3 2"'
loop_
_atom_site_label
_atom_site_fract_x
_atom_site_fract_y
_atom_site_fract_z
Sm1 0.0000 0.0000 0.0000
Sm2 0.3333 0.6667 0.5996
Zn1 0.0000 0.0000 0.5000
Si1 0.3333 0.6667 0.1614
Pd1 0.0000 0.5000 0.0000
Pd2 0.1631 0.3263 0.3134

Record 9
# LiOsPd, optimized geometry, DFT PBE-GGA
# Formation enthalpy at 0 K (meV per atom): 125
data_LiOsPd
_chemical_formula_sum 'Li2 Os2 Pd2'
_cell_length_a 2.7103
_cell_length_b 2.7103
_cell_length_c 13.4275
_cell_angle_alpha 90.00
_cell_angle_beta 90.00
_cell_angle_gamma 120.00
_symmetry_space_group_name_H-M 'P -6 m 2'
_symmetry_Int_Tables_number 187
_symmetry_space_group_name_Hall 'P -6 2'
loop_
_atom_site_label
_atom_site_fract_x
_atom_site_fract_y
_atom_site_fract_z
Li1 0.0000 0.0000 0.0000
Li2 0.3333 0.6667 0.5000
Os1 0.0000 0.0000 0.3311
Pd1 0.3333 0.6667 0.1622

Record 10
# LiSbAs4, optimized geometry, DFT PBE-GGA
# Formation energy (no corrections) (kJ/mol of formula units): 124
data_LiSbAs4
_chemical_formula_sum 'Li4 Sb4 As16'
_cell_length_a 8.0030
_cell_length_b 8.0030
_cell_length_c 8.0030
_cell_angle_alpha 90.00
_cell_angle_beta 90.00
_cell_angle_gamma 90.00
_symmetry_space_group_name_H-M 'F -4 3 m'
_symmetry_Int_Tables_number 216
_symmetry_space_group_name_Hall 'F -4 2 3'
loop_
_atom_site_label
_atom_site_fract_x
_atom_site_fract_y
_atom_site_fract_z
Li1 0.0000 0.0000 0.0000
Sb1 0.2500 0.2500 0.7500
As1 0.1267 0.1267 0.3733

Record 11
# Sr2HgW, optimized geometry, DFT PBE-GGA
# Formation enthalpy at 0 K (meV per atom): 1262
data_Sr2HgW
_chemical_formula_sum 'Sr8 Hg4 W4'
_cell_length_a 4.5040
_cell_length_b 4.5040
_cell_length_c 21.8919
_cell_angle_alpha 90.00
_cell_angle_beta 90.00
_cell_angle_gamma 90.00
_symmetry_space_group_name_H-M 'I -4 2 d'
_symmetry_Int_Tables_number 122
_symmetry_space_group_name_Hall 'I -4 2bw'
loop_
_atom_site_label
_atom_site_fract_x
_atom_site_fract_y
_atom_site_fract_z
Sr1 0.2474 0.2500 0.1250
Hg1 0.0000 0.0000 0.5000
W1 0.0000 0.0000 0.0000

Record 12
# ReGe2Rh2, optimized geometry, DFT PBE-GGA
# Formation enthalpy at 0 K (meV per atom): -67
data_ReGe2Rh2
_chemical_formula_sum 'Re2 Ge4 Rh4'
_cell_length_a 7.2012
_cell_length_b 7.2012
_cell_length_c 2.8111
_cell_angle_alpha 90.00
_cell_angle_beta 90.00
_cell_angle_gamma 90.00
_symmetry_space_group_name_H-M 'P 4/m b m'
_symmetry_Int_Tables_number 127
_symmetry_space_group_name_Hall '-P 4 2ab'
loop_
_atom_site_label
_atom_site_fract_x
_atom_site_fract_y
_atom_site_fract_z
Re1 0.0000 0.0000 0.0000
Ge1 0.1530 0.3470 0.0000
Rh1 0.1472 0.6472 0.5000

Record 13
# YHPb3, optimized geometry, DFT PBE-GGA
# DFT total energy (eV/cell): -21.3
data_YHPb3
_chemical_formula_sum 'Y1 H1 Pb3'
_cell_length_a 4.9378
_cell_length_b 4.9378
_cell_length_c 4.9378
_cell_angle_alpha 90.00
_cell_angle_beta 90.00
_cell_angle_gamma 90.00
_symmetry_space_group_name_H-M 'P m -3 m'
_symmetry_Int_Tables_number 221
_symmetry_space_group_name_Hall '-P 4 2 3'
loop_
_atom_site_label
_atom_site_fract_x
_atom_site_fract_y
_atom_site_fract_z
Y1 0.0000 0.0000 0.0000
H1 0.5000 0.5000 0.5000
Pb1 0.0000 0.5000 0.5000

Record 14
# La4PmDy3Se8, optimized geometry, DFT PBE-GGA
# Formation energy (no corrections) (kJ/mol of formula units): -2913
data_La4PmDy3Se8
_chemical_formula_sum 'La12 Pm3 Dy9 Se24'
_cell_length_a 8.3895
_cell_length_b 8.3895
_cell_length_c 20.7707
_cell_angle_alpha 90.00
_cell_angle_beta 90.00
_cell_angle_gamma 120.00
_symmetry_space_group_name_H-M 'R -3 m'
_symmetry_Int_Tables_number 166
_symmetry_space_group_name_Hall '-R 3 2"'
loop_
_atom_site_label
_atom_site_fract_x
_atom_site_fract_y
_atom_site_fract_z
La1 0.0000 0.0000 0.0000
La2 0.0000 0.5000 0.0000
Pm1 0.0000 0.0000 0.5000
Dy1 0.0000 0.5000 0.5000
Se1 0.0000 0.0000 0.2436
Se2 0.0054 0.5027 0.7552

Record 15
# Ga3Ag6Au, optimized geometry, DFT PBE-GGA
# Formation enthalpy at 0 K (meV per atom): 21
data_Ga3Ag6Au
_chemical_formula_sum 'Ga12 Ag24 Au4'
_cell_length_a 9.7574
_cell_length_b 13.3322
_cell_length_c 5.6558
_cell_angle_alpha 90.00
_cell_angle_beta 90.00
_cell_angle_gamma 90.00
_symmetry_space_group_name_H-M 'C m c 21'
_symmetry_Int_Tables_number 36
_symmetry_space_group_name_Hall 'C 2c -2'
loop_
_atom_site_label
_atom_site_fract_x
_atom_site_fract_y
_atom_site_fract_z
Ga1 0.0000 0.1288 0.0000
Ga2 0.1764 0.3893 0.4212
Ag1 0.0000 0.2358 0.6019
Ag2 0.0000 0.4648 0.7654
Ag3 0.1493 0.0300 0.6218
Ag4 0.2467 0.1934 0.3299
Au1 0.0000 0.3144 0.1130

Record 16
# Mn2ReNi, optimized geometry, DFT PBE-GGA
# Formation enthalpy at 0 K (meV per atom): 142
data_Mn2ReNi
_chemical_formula_sum 'Mn2 Re1 Ni1'
_cell_length_a 2.5405
_cell_length_b 4.1762
_cell_length_c 4.7169
_cell_angle_alpha 90.00
_cell_angle_beta 96.17
_cell_angle_gamma 90.00
_symmetry_space_group_name_H-M 'P 1 2/m 1'
_symmetry_Int_Tables_number 10
_symmetry_space_group_name_Hall '-P 2y'
loop_
_atom_site_label
_atom_site_fract_x
_atom_site_fract_y
_atom_site_fract_z
Mn1 0.2377 0.0000 0.2538
Re1 0.5000 0.5000 0.0000
Ni1 0.0000 0.5000 0.5000

Record 17
# K2TaMo, optimized geometry, DFT PBE-GGA
# Formation enthalpy at 0 K (meV per atom): 1811
data_K2TaMo
_chemical_formula_sum 'K8 Ta4 Mo4'
_cell_length_a 7.2490
_cell_length_b 7.2490
_cell_length_c 7.2490
_cell_angle_alpha 90.00
_cell_angle_beta 90.00
_cell_angle_gamma 90.00
_symmetry_space_group_name_H-M 'F -4 3 m'
_symmetry_Int_Tables_number 216
_symmetry_space_group_name_Hall 'F -4 2 3'
loop_
_atom_site_label
_atom_site_fract_x
_atom_site_fract_y
_atom_site_fract_z
K1 0.0000 0.0000 0.0000
K2 0.2500 0.2500 0.2500
Ta1 0.0000 0.0000 0.5000
Mo1 0.2500 0.2500 0.7500

Record 18
# CaCo2Hg, optimized geometry, DFT PBE-GGA
# Formation enthalpy at 0 K (meV per atom): -11
data_CaCo2Hg
_chemical_formula_sum 'Ca4 Co8 Hg4'
_cell_length_a 10.4703
_cell_length_b 3.9135
_cell_length_c 7.4144
_cell_angle_alpha 90.00
_cell_angle_beta 91.52
_cell_angle_gamma 90.00
_symmetry_space_group_name_H-M 'C 1 2/m 1'
_symmetry_Int_Tables_number 12
_symmetry_space_group_name_Hall '-C 2y'
loop_
_atom_site_label
_atom_site_fract_x
_atom_site_fract_y
_atom_site_fract_z
Ca1 0.0724 0.0000 0.2531
Co1 0.1052 0.5000 0.5528
Co2 0.2109 0.0000 0.6171
Hg1 0.1470 0.5000 0.9161

Record 19
# RbAgS2, optimized geometry, DFT PBE-GGA
# Formation energy (no corrections) (kJ/mol of formula units): 68
data_RbAgS2
_chemical_formula_sum 'Rb4 Ag4 S8'
_cell_length_a 7.2579
_cell_length_b 7.2579
_cell_length_c 7.2579
_cell_angle_alpha 90.00
_cell_angle_beta 90.00
_cell_angle_gamma 90.00
_symmetry_space_group_name_H-M 'F m -3 m'
_symmetry_Int_Tables_number 225
_symmetry_space_group_name_Hall '-F 4 2 3'
loop_
_atom_site_label
_atom_site_fract_x
_atom_site_fract_y
_atom_site_fract_z
Rb1 0.0000 0.0000 0.0000
Ag1 0.0000 0.0000 0.5000
S1 0.2500 0.2500 0.2500

Record 20
# SmGd2Au, optimized geometry, DFT PBE-GGA
# Formation enthalpy at 0 K (meV per atom): 137
data_SmGd2Au
_chemical_formula_sum 'Sm3 Gd6 Au3'
_cell_length_a 3.5402
_cell_length_b 3.5402
_cell_length_c 34.1980
_cell_angle_alpha 90.00
_cell_angle_beta 90.00
_cell_angle_gamma 120.00
_symmetry_space_group_name_H-M 'R -3 m'
_symmetry_Int_Tables_number 166
_symmetry_space_group_name_Hall '-R 3 2"'
loop_
_atom_site_label
_atom_site_fract_x
_atom_site_fract_y
_atom_site_fract_z
Sm1 0.0000 0.0000 0.0000
Gd1 0.0000 0.0000 0.4173
Au1 0.0000 0.0000 0.5000

Record 21
# Cd2H5Rh, optimized geometry, DFT PBE-GGA
# DFT total energy (eV/cell): -25.9
data_Cd2H5Rh
_chemical_formula_sum 'Cd2 H5 Rh1'
_cell_length_a 4.7122
_cell_length_b 4.8266
_cell_length_c 4.9486
_cell_angle_alpha 62.64
_cell_angle_beta 61.67
_cell_angle_gamma 83.61
_symmetry_space_group_name_H-M 'P 1'
_symmetry_Int_Tables_number 1
_symmetry_space_group_name_Hall 'P 1'
loop_
_atom_site_label
_atom_site_fract_x
_atom_site_fract_y
_atom_site_fract_z
Cd1 0.0000 0.0000 0.0000
Cd2 0.4539 0.5224 0.0627
H1 0.0642 0.1263 0.5128
H2 0.4882 0.0938 0.8645
H3 0.5116 0.6168 0.4604
H4 0.7171 0.2029 0.3104
H5 0.9068 0.5835 0.6275
Rh1 0.7833 0.3773 0.5040

Record 22
# KZn2Re, optimized geometry, DFT PBE-GGA
# Formation enthalpy at 0 K (meV per atom): 1078
data_KZn2Re
_chemical_formula_sum 'K4 Zn8 Re4'
_cell_length_a 6.7978
_cell_length_b 6.7978
_cell_length_c 6.7978
_cell_angle_alpha 90.00
_cell_angle_beta 90.00
_cell_angle_gamma 90.00
_symmetry_space_group_name_H-M 'F m -3 m'
_symmetry_Int_Tables_number 225
_symmetry_space_group_name_Hall '-F 4 2 3'
loop_
_atom_site_label
_atom_site_fract_x
_atom_site_fract_y
_atom_site_fract_z
K1 0.0000 0.0000 0.0000
Zn1 0.2500 0.2500 0.2500
Re1 0.0000 0.0000 0.5000

Record 23
# EuDyZnPb, optimized geometry, DFT PBE-GGA
# Formation enthalpy at 0 K (meV per atom): -372
data_EuDyZnPb
_chemical_formula_sum 'Eu4 Dy4 Zn4 Pb4'
_cell_length_a 7.5885
_cell_length_b 7.5885
_cell_length_c 7.5885
_cell_angle_alpha 90.00
_cell_angle_beta 90.00
_cell_angle_gamma 90.00
_symmetry_space_group_name_H-M 'F -4 3 m'
_symmetry_Int_Tables_number 216
_symmetry_space_group_name_Hall 'F -4 2 3'
loop_
_atom_site_label
_atom_site_fract_x
_atom_site_fract_y
_atom_site_fract_z
Eu1 0.0000 0.0000 0.0000
Dy1 0.0000 0.0000 0.5000
Zn1 0.2500 0.2500 0.2500
Pb1 0.2500 0.2500 0.7500

Record 24
# RbPPb2, optimized geometry, DFT PBE-GGA
# Formation enthalpy at 0 K (meV per atom): 141
data_RbPPb2
_chemical_formula_sum 'Rb4 P4 Pb8'
_cell_length_a 5.6625
_cell_length_b 5.6625
_cell_length_c 19.3583
_cell_angle_alpha 90.00
_cell_angle_beta 90.00
_cell_angle_gamma 90.00
_symmetry_space_group_name_H-M 'I -4 2 d'
_symmetry_Int_Tables_number 122
_symmetry_space_group_name_Hall 'I -4 2bw'
loop_
_atom_site_label
_atom_site_fract_x
_atom_site_fract_y
_atom_site_fract_z
Rb1 0.0000 0.0000 0.0000
P1 0.0000 0.0000 0.5000
Pb1 0.1211 0.2500 0.6250